ZrZnGaB2: optimized geometry, PBE.

a b c (Å): 4.4589 4.4589 5.3874
angles (deg): 90.00 90.00 90.00
Space group P4/mmm (No. 123)
Unique sites:
Zr 0.0000 0.0000 0.0000 [1 per cell]
Zn 0.5000 0.5000 0.5000 [1 per cell]
Ga 0.0000 0.0000 0.5000 [1 per cell]
B 0.0000 0.5000 0.0000 [2 per cell]

## Properties
Formation enthalpy at 0 K = 7.2 eV per formula unit
Total DFT energy (no corrections) = -19.0 eV/f.u.